# 1
A geometry-optimized TbDyCoHg structure, computed with GGA-PBE.

Unit cell a=5.038 b=5.038 c=5.038 alpha=60.00 beta=60.00 gamma=60.00
Fractional coordinates of all 4 atoms:
Tb (0.000, 0.000, 0.000)
Dy (0.500, 0.500, 0.500)
Co (0.750, 0.750, 0.750)
Hg (0.250, 0.250, 0.250)

Computed properties:
Formation energy from the elements ... -0.2220 eV/atom

=====

# 2
A geometry-optimized DyYCoHg structure, computed with GGA-PBE.

Unit cell a=5.034 b=5.034 c=5.034 alpha=60.00 beta=60.00 gamma=60.00
Fractional coordinates of all 4 atoms:
Dy (0.000, 0.000, 0.000)
Y (0.500, 0.500, 0.500)
Co (0.250, 0.250, 0.250)
Hg (0.750, 0.750, 0.750)

Computed properties:
Formation energy from the elements ... -0.2298 eV/atom

=====

# 3
A geometry-optimized Dy2ZnCoHg structure, computed with GGA-PBE.

Unit cell a=7.868 b=3.821 c=8.030 alpha=90.00 beta=115.58 gamma=90.00
Fractional coordinates of all 10 atoms:
Dy (0.002, 0.250, 0.208)
Dy (0.341, 0.750, 0.609)
Dy (0.659, 0.250, 0.391)
Dy (0.998, 0.750, 0.792)
Zn (0.351, 0.250, 0.920)
Zn (0.649, 0.750, 0.080)
Co (0.080, 0.250, 0.587)
Co (0.920, 0.750, 0.413)
Hg (0.315, 0.750, 0.194)
Hg (0.685, 0.250, 0.806)

Computed properties:
Formation energy from the elements ... -0.3567 eV/atom

=====

# 4
A geometry-optimized DyHoCo2 structure, computed with GGA-PBE.

Unit cell a=4.706 b=4.706 c=4.706 alpha=60.00 beta=60.00 gamma=60.00
Fractional coordinates of all 4 atoms:
Dy (0.000, 0.000, 0.000)
Ho (0.500, 0.500, 0.500)
Co (0.250, 0.250, 0.250)
Co (0.750, 0.750, 0.750)

Computed properties:
Formation energy from the elements ... -0.1592 eV/atom

=====

# 5
A geometry-optimized DyHo3Co8 structure, computed with GGA-PBE.

Unit cell a=8.760 b=8.760 c=8.760 alpha=33.54 beta=33.54 gamma=33.54
Fractional coordinates of all 12 atoms:
Dy (0.000, 0.000, 0.000)
Ho (0.125, 0.125, 0.125)
Ho (0.500, 0.500, 0.500)
Ho (0.625, 0.625, 0.625)
Co (0.063, 0.063, 0.562)
Co (0.063, 0.562, 0.063)
Co (0.063, 0.563, 0.563)
Co (0.312, 0.312, 0.312)
Co (0.562, 0.063, 0.063)
Co (0.563, 0.063, 0.563)
Co (0.563, 0.563, 0.063)
Co (0.813, 0.813, 0.813)

Computed properties:
Formation energy from the elements ... -0.2183 eV/atom

=====

# 6
A geometry-optimized DyHo2Co structure, computed with GGA-PBE.

Unit cell a=10.483 b=10.483 c=10.483 alpha=19.54 beta=19.54 gamma=19.54
Fractional coordinates of all 4 atoms:
Dy (0.000, 0.000, 0.000)
Ho (0.114, 0.114, 0.114)
Ho (0.886, 0.886, 0.886)
Co (0.500, 0.500, 0.500)

Computed properties:
Formation energy from the elements ... 0.1629 eV/atom

=====

# 7
A geometry-optimized Dy4HoCo4 structure, computed with GGA-PBE.

Unit cell a=8.375 b=8.375 c=5.576 alpha=90.00 beta=90.00 gamma=90.00
Fractional coordinates of all 18 atoms:
Dy (0.060, 0.675, 0.131)
Dy (0.175, 0.940, 0.631)
Dy (0.325, 0.560, 0.631)
Dy (0.440, 0.825, 0.131)
Dy (0.560, 0.175, 0.869)
Dy (0.675, 0.440, 0.369)
Dy (0.825, 0.060, 0.369)
Dy (0.940, 0.325, 0.869)
Ho (0.250, 0.250, 0.250)
Ho (0.750, 0.750, 0.750)
Co (0.012, 0.613, 0.613)
Co (0.113, 0.988, 0.113)
Co (0.387, 0.512, 0.113)
Co (0.488, 0.887, 0.613)
Co (0.512, 0.113, 0.387)
Co (0.613, 0.488, 0.887)
Co (0.887, 0.012, 0.887)
Co (0.988, 0.387, 0.387)

Computed properties:
Formation energy from the elements ... -0.0678 eV/atom

=====

# 8
A geometry-optimized DyHoCo2 structure, computed with GGA-PBE.

Unit cell a=4.703 b=4.703 c=3.340 alpha=90.00 beta=90.00 gamma=90.00
Fractional coordinates of all 4 atoms:
Dy (0.000, 0.000, 0.000)
Ho (0.500, 0.500, 0.000)
Co (0.000, 0.500, 0.500)
Co (0.500, 0.000, 0.500)

Computed properties:
Formation energy from the elements ... -0.1589 eV/atom

=====

# 9
A geometry-optimized DyHo4Co2 structure, computed with GGA-PBE.

Unit cell a=7.567 b=6.320 c=7.763 alpha=90.00 beta=113.23 gamma=90.00
Fractional coordinates of all 14 atoms:
Dy (0.027, 0.250, 0.167)
Dy (0.973, 0.750, 0.833)
Ho (0.242, 0.502, 0.587)
Ho (0.242, 0.998, 0.587)
Ho (0.325, 0.750, 0.250)
Ho (0.374, 0.250, 0.018)
Ho (0.626, 0.750, 0.982)
Ho (0.675, 0.250, 0.750)
Ho (0.758, 0.002, 0.413)
Ho (0.758, 0.498, 0.413)
Co (0.013, 0.250, 0.729)
Co (0.407, 0.250, 0.371)
Co (0.593, 0.750, 0.629)
Co (0.987, 0.750, 0.271)

Computed properties:
Formation energy from the elements ... -0.0654 eV/atom

=====

# 10
A geometry-optimized Dy2Ho6Co structure, computed with GGA-PBE.

Unit cell a=9.626 b=9.626 c=3.585 alpha=90.00 beta=90.00 gamma=123.61
Fractional coordinates of all 9 atoms:
Dy (0.170, 0.830, 0.000)
Dy (0.830, 0.170, 0.000)
Ho (0.166, 0.498, 0.500)
Ho (0.294, 0.294, 0.000)
Ho (0.498, 0.166, 0.500)
Ho (0.502, 0.834, 0.500)
Ho (0.706, 0.706, 0.000)
Ho (0.834, 0.502, 0.500)
Co (0.500, 0.500, 0.500)

Computed properties:
Formation energy from the elements ... 0.1718 eV/atom

=====

# 11
A geometry-optimized Dy4Ho3Co2 structure, computed with GGA-PBE.

Unit cell a=8.329 b=8.329 c=8.888 alpha=112.58 beta=112.58 gamma=24.98
Fractional coordinates of all 9 atoms:
Dy (0.135, 0.135, 0.393)
Dy (0.272, 0.272, 0.853)
Dy (0.728, 0.728, 0.147)
Dy (0.865, 0.865, 0.607)
Ho (0.428, 0.428, 0.307)
Ho (0.500, 0.500, 0.000)
Ho (0.572, 0.572, 0.693)
Co (0.118, 0.118, 0.936)
Co (0.882, 0.882, 0.064)

Computed properties:
Formation energy from the elements ... -0.1058 eV/atom

=====

# 12
A geometry-optimized Dy3HoCo structure, computed with GGA-PBE.

Unit cell a=7.109 b=7.109 c=8.112 alpha=124.74 beta=124.74 gamma=71.13
Fractional coordinates of all 10 atoms:
Dy (0.048, 0.048, 0.341)
Dy (0.048, 0.453, 0.207)
Dy (0.453, 0.048, 0.207)
Dy (0.547, 0.952, 0.793)
Dy (0.952, 0.547, 0.793)
Dy (0.952, 0.952, 0.659)
Ho (0.453, 0.453, 0.747)
Ho (0.547, 0.547, 0.253)
Co (0.250, 0.250, 0.873)
Co (0.750, 0.750, 0.127)

Computed properties:
Formation energy from the elements ... -0.1103 eV/atom